(1)
The following is a PBE calculation of an optimized crystal structure of Tb3Ga2Rh3, from Alexandria via LeMat-Bulk.

Cell: 7.568 15.036 5.687 Å, 90.00 90.00 90.00°
Space group Pnma (No. 62)
Asymmetric unit:
Tb1 0.030 0.105 0.141 (multiplicity 8)
Tb2 0.174 0.250 0.602 (multiplicity 4)
Ga1 0.116 0.607 0.365 (multiplicity 8)
Rh1 0.178 0.750 0.618 (multiplicity 4)
Rh2 0.181 0.036 0.586 (multiplicity 8)

Calculated values
**Final energy**: -6.08 eV per atom
**Crystal system**: orthorhombic
**Spin magnetization**: 0.00 μB/cell
**DFT formation energy**: -834 meV per atom

=====

(2)
The following is a PBE calculation of an optimized crystal structure of Tb3GaRh3, from Alexandria via LeMat-Bulk.

Cell: 4.116 10.379 13.613 Å, 90.00 90.00 90.00°
Space group Cmcm (No. 63)
Asymmetric unit:
Tb1 0.000 0.023 0.250 (multiplicity 4)
Tb2 0.000 0.300 0.106 (multiplicity 8)
Ga1 0.000 0.000 0.000 (multiplicity 4)
Rh1 0.000 0.252 0.750 (multiplicity 4)
Rh2 0.000 0.415 0.589 (multiplicity 8)

Calculated values
**Final energy**: -6.43 eV per atom
**Crystal system**: orthorhombic
**Spin magnetization**: 0.00 μB/cell
**Relative energy among the computed polymorphs**: 0 meV per atom
**DFT formation energy**: -859 meV per atom

=====

(3)
The following is a PBE calculation of an optimized crystal structure of TbGa12Rh6, from Alexandria via LeMat-Bulk.

Cell: 11.3567 11.3567 8.6100 Å, 90.00 90.00 120.00°
Space group R-3m (No. 166, hexagonal axes)
Asymmetric unit:
Tb1 0.0000 0.0000 0.0000 (multiplicity 3)
Ga1 0.0000 0.3861 0.5000 (multiplicity 18)
Ga2 0.0889 0.1778 0.3133 (multiplicity 18)
Rh1 0.0499 0.5250 0.2485 (multiplicity 18)

Calculated values
**Final energy**: -4.99 eV per atom
**Crystal system**: trigonal
**Spin magnetization**: 0.00 μB/cell
**DFT formation energy**: -515 meV per atom

=====

(4)
The following is a PBE calculation of an optimized crystal structure of Tb3GaRh3, from Alexandria via LeMat-Bulk.

Cell: 8.1599 8.1599 5.4161 Å, 90.00 90.00 120.00°
Space group P6_3/m (No. 176)
Asymmetric unit:
Tb1 0.0752 0.4068 0.2500 (multiplicity 6)
Ga1 0.3333 0.6667 0.7500 (multiplicity 2)
Rh1 0.0682 0.3176 0.7500 (multiplicity 6)

Calculated values
**Final energy**: -6.13 eV per atom
**Crystal system**: hexagonal
**Spin magnetization**: 0.00 μB/cell
**Relative energy among the computed polymorphs**: 299 meV per atom
**DFT formation energy**: -560 meV per atom

=====

(5)
The following is a PBE calculation of an optimized crystal structure of Tb3GaRh2, from Alexandria via LeMat-Bulk.

Cell: 11.882 3.888 11.937 Å, 90.00 90.00 90.00°
Space group Pnma (No. 62)
Asymmetric unit:
Tb1 0.056 0.250 0.123 (multiplicity 4)
Tb2 0.132 0.750 0.572 (multiplicity 4)
Tb3 0.199 0.250 0.823 (multiplicity 4)
Ga1 0.120 0.250 0.371 (multiplicity 4)
Rh1 0.004 0.750 0.304 (multiplicity 4)
Rh2 0.191 0.750 0.992 (multiplicity 4)

Calculated values
**Final energy**: -6.01 eV per atom
**Crystal system**: orthorhombic
**Spin magnetization**: 0.00 μB/cell
**Relative energy among the computed polymorphs**: 15 meV per atom
**DFT formation energy**: -740 meV per atom

=====

(6)
The following is a PBE calculation of an optimized crystal structure of TbGa2Rh2, from Alexandria via LeMat-Bulk.

Cell: 4.243 4.243 10.030 Å, 90.00 90.00 90.00°
Space group I4/mmm (No. 139)
Asymmetric unit:
Tb1 0.000 0.000 0.000 (multiplicity 2)
Ga1 0.000 0.000 0.375 (multiplicity 4)
Rh1 0.000 0.500 0.250 (multiplicity 4)

Calculated values
**Final energy**: -5.89 eV per atom
**Crystal system**: tetragonal
**Spin magnetization**: 0.00 μB/cell
**Relative energy among the computed polymorphs**: 0 meV per atom
**DFT formation energy**: -808 meV per atom

=====

(7)
The following is a PBE calculation of an optimized crystal structure of Tb8Ga2Rh, from Alexandria via LeMat-Bulk.

Cell: 18.326 4.952 6.632 Å, 90.00 101.02 90.00°
Space group C2/m (No. 12)
Asymmetric unit:
Tb1 0.023 0.000 0.278 (multiplicity 4)
Tb2 0.090 0.500 0.958 (multiplicity 4)
Tb3 0.151 0.500 0.479 (multiplicity 4)
Tb4 0.209 0.000 0.818 (multiplicity 4)
Ga1 0.189 0.000 0.258 (multiplicity 4)
Rh1 0.000 0.500 0.500 (multiplicity 2)

Calculated values
**Final energy**: -4.96 eV per atom
**Crystal system**: monoclinic
**Spin magnetization**: 0.00 μB/cell
**DFT formation energy**: -370 meV per atom

=====

(8)
The following is a PBE calculation of an optimized crystal structure of Tb3Ga2Rh2, from Alexandria via LeMat-Bulk.

Cell: 5.544 7.862 13.683 Å, 90.00 90.00 90.00°
Space group Pbcm (No. 57)
Asymmetric unit:
Tb1 0.129 0.234 0.250 (multiplicity 4)
Tb2 0.348 0.598 0.098 (multiplicity 8)
Ga1 0.142 0.250 0.000 (multiplicity 4)
Ga2 0.375 0.613 0.750 (multiplicity 4)
Rh1 0.145 0.536 0.592 (multiplicity 8)

Calculated values
**Final energy**: -5.78 eV per atom
**Crystal system**: orthorhombic
**Spin magnetization**: 0.00 μB/cell
**DFT formation energy**: -826 meV per atom

=====

(9)
The following is a PBE calculation of an optimized crystal structure of TbGa2Rh4, from Alexandria via LeMat-Bulk.

Cell: 4.3054 4.3054 22.0092 Å, 90.00 90.00 120.00°
Space group R-3m (No. 166, hexagonal axes)
Asymmetric unit:
Tb1 0.0000 0.0000 0.0000 (multiplicity 3)
Ga1 0.0000 0.0000 0.2417 (multiplicity 6)
Rh1 0.0000 0.0000 0.1288 (multiplicity 6)
Rh2 0.0000 0.0000 0.3910 (multiplicity 6)

Calculated values
**Final energy**: -6.22 eV per atom
**Crystal system**: trigonal
**Spin magnetization**: 0.00 μB/cell
**DFT formation energy**: -488 meV per atom

=====

Question: Which of these has the lowest final energy?
Answer: number 2

=====

Question: Among the records above, which one has the lowest DFT formation energy?
Answer: number 2

=====

Question: The lowest final energy belongs to which entry?
Answer: number 2